Here is an optimized crystal structure of BaCoI2O from the Alexandria database. Energies are from PBE+U.

Geometry as CIF:
```
data_BaCoI2O
_space_group_name_H-M_alt 'P 4/m m m'
_space_group_IT_number 123
_space_group_name_Hall '-P 4 2'
_cell_length_a 6.7706
_cell_length_b 6.7706
_cell_length_c 4.5054
_cell_angle_alpha 90.00
_cell_angle_beta 90.00
_cell_angle_gamma 90.00
loop_
_atom_site_label
_atom_site_fract_x
_atom_site_fract_y
_atom_site_fract_z
Ba1 0.0000 0.0000 0.0000
Co1 0.5000 0.5000 0.5000
I1 0.0000 0.5000 0.0000
O1 0.0000 0.0000 0.5000
```

Summary:
**Relative energy among the computed polymorphs**: 4.16 eV per formula unit
**Density of states at the Fermi level**: 1.5987 states/eV per atom
**Final energy**: -3.138 eV per atom